(1)
A relaxed structure of PrAgTeS, computed with GGA-PBE.

a b c (Å): 4.643 4.643 9.774
angles (deg): 90.00 90.00 90.00
Sites, in units of the cell vectors:
Pr  0.000  0.500  0.841
Pr  0.500  0.000  0.159
Ag  0.000  0.000  0.500
Ag  0.500  0.500  0.500
Te  0.500  0.000  0.683
Te  0.000  0.500  0.317
S  0.500  0.500  0.000
S  0.000  0.000  0.000

Computed properties:
Formation energy (no corrections) = -1.125 eV/atom
SG = P4/nmm (129)


(2)
A relaxed structure of As2PtN, computed with GGA-PBE.

a b c (Å): 5.326 5.326 6.268
angles (deg): 64.86 64.86 90.00
Sites, in units of the cell vectors:
As  0.574  0.125  0.250
As  0.176  0.625  0.250
As  0.375  0.426  0.750
As  0.875  0.824  0.750
Pt  0.000  0.000  0.000
Pt  0.750  0.250  0.500
N  0.500  0.500  0.000
N  0.250  0.750  0.500

Computed properties:
Formation energy (no corrections) = 0.324 eV/atom
SG = I-42d (122)


(3)
A relaxed structure of Cs2YW, computed with GGA-PBE.

a b c (Å): 6.091 6.091 6.091
angles (deg): 60.00 60.00 60.00
Each line ends with the local moment (μB).
Sites, in units of the cell vectors:
Cs  0.250  0.250  0.250  0.01
Cs  0.750  0.750  0.750  0.01
Y  0.000  0.000  0.000  -0.55
W  0.500  0.500  0.500  2.82

Computed properties:
Energy of formation from the pure elements = 2.029 eV per atom
SG = Fm-3m (225)


(4)
A relaxed structure of In2SeS, computed with GGA-PBE.

a b c (Å): 3.954 3.954 7.944
angles (deg): 75.59 75.59 60.00
Sites, in units of the cell vectors:
In  0.086  0.086  0.741
In  0.254  0.254  0.239
Se  0.680  0.680  0.960
S  0.480  0.480  0.559

Computed properties:
Formation energy (no corrections) = -0.425 eV/atom
SG = R3m (160)


(5)
A relaxed structure of Hf2BiRh, computed with GGA-PBE.

a b c (Å): 3.995 3.995 7.127
angles (deg): 73.72 73.72 60.00
Sites, in units of the cell vectors:
Rh  0.000  0.000  0.000
Hf  0.269  0.269  0.194
Hf  0.731  0.731  0.806
Bi  0.500  0.500  0.500

Computed properties:
Energy of formation from the pure elements = -0.306 eV per atom
SG = R-3m (166)


(6)
A relaxed structure of ZrTa2Ru, computed with GGA-PBE.

a b c (Å): 4.649 4.649 4.649
angles (deg): 60.00 60.00 60.00
Sites, in units of the cell vectors:
Ru  0.500  0.500  0.500
Ta  0.000  0.000  0.000
Ta  0.250  0.250  0.250
Zr  0.750  0.750  0.750

Computed properties:
Energy of formation from the pure elements = -0.149 eV per atom
SG = F-43m (216)


| no. | calculated total energy (eV/atom) |
| --- | --- |
| 1 | -4.850 |
| 2 | -5.593 |
| 3 | -3.253 |
| 4 | -3.697 |
| 5 | -8.091 |
| 6 | -10.531 |